[1]
Entry from Alexandria: MgTiTcPt after structural relaxation (PBE). Values from VASP.

## Properties
Density of states at the Fermi level ... 0.866 states/eV per atom
Energy of formation ... -190 kJ/mol of formula units

Cell and atoms, written as Quantum ESPRESSO input:
```
&SYSTEM
  ibrav = 0, nat = 4, ntyp = 4
/
ATOMIC_SPECIES
Mg 24.30 Mg.upf
Ti 47.87 Ti.upf
Tc 98.00 Tc.upf
Pt 195.08 Pt.upf
CELL_PARAMETERS angstrom
0.0000 3.1300 3.1300
3.1300 0.0000 3.1300
3.1300 3.1300 0.0000
ATOMIC_POSITIONS crystal
Mg 0.0000 0.0000 0.0000
Ti 0.5000 0.5000 0.5000
Tc 0.7500 0.7500 0.7500
Pt 0.2500 0.2500 0.2500
```

[2]
Entry from Alexandria: YMg2TcPt after structural relaxation (PBE). Values from VASP.

## Properties
Density of states at the Fermi level ... 0.681 states/eV per atom
Energy of formation ... 785 kJ/mol of formula units

Cell and atoms, written as Quantum ESPRESSO input:
```
&SYSTEM
  ibrav = 0, nat = 5, ntyp = 4
/
ATOMIC_SPECIES
Y 88.91 Y.upf
Mg 24.30 Mg.upf
Tc 98.00 Tc.upf
Pt 195.08 Pt.upf
CELL_PARAMETERS angstrom
5.3538 0.0000 0.0000
0.0000 5.3538 0.0000
0.0000 0.0000 4.5696
ATOMIC_POSITIONS crystal
Y 0.0000 0.0000 0.0000
Mg 0.0000 0.5000 0.0000
Mg 0.5000 0.0000 0.0000
Tc 0.0000 0.0000 0.5000
Pt 0.5000 0.5000 0.5000
```

[3]
Entry from Alexandria: MgZrTcPt after structural relaxation (PBE). Values from VASP.

## Properties
Density of states at the Fermi level ... 0.981 states/eV per atom
Energy of formation ... -180 kJ/mol of formula units

Cell and atoms, written as Quantum ESPRESSO input:
```
&SYSTEM
  ibrav = 0, nat = 4, ntyp = 4
/
ATOMIC_SPECIES
Mg 24.30 Mg.upf
Zr 91.22 Zr.upf
Tc 98.00 Tc.upf
Pt 195.08 Pt.upf
CELL_PARAMETERS angstrom
0.0000 3.2410 3.2410
3.2410 0.0000 3.2410
3.2410 3.2410 0.0000
ATOMIC_POSITIONS crystal
Mg 0.0000 0.0000 0.0000
Zr 0.5000 0.5000 0.5000
Tc 0.7500 0.7500 0.7500
Pt 0.2500 0.2500 0.2500
```

[4]
Entry from Alexandria: MgTePt2 after structural relaxation (PBE). Values from VASP.

## Properties
Density of states at the Fermi level ... 0.718 states/eV per atom
Uncorrected formation energy ... -7.51 kcal/mol of atoms
Relative energy among the computed polymorphs ... 89.3 meV/atom

Cell and atoms, written as Quantum ESPRESSO input:
```
&SYSTEM
  ibrav = 0, nat = 4, ntyp = 3
/
ATOMIC_SPECIES
Mg 24.30 Mg.upf
Te 127.60 Te.upf
Pt 195.08 Pt.upf
CELL_PARAMETERS angstrom
4.3603 -1.8719 0.0000
4.3603 1.8719 0.0000
-1.2727 0.0000 4.5398
ATOMIC_POSITIONS crystal
Mg 0.0000 0.0000 0.0000
Te 0.5000 0.5000 0.5000
Pt 0.2443 0.2443 0.7630
Pt 0.7557 0.7557 0.2370
```

[5]
Entry from Alexandria: MgTePt after structural relaxation (PBE). Values from VASP.

## Properties
Density of states at the Fermi level ... 0.306 states/eV per atom
Uncorrected formation energy ... -13.85 kcal/mol of atoms

Cell and atoms, written as Quantum ESPRESSO input:
```
&SYSTEM
  ibrav = 0, nat = 6, ntyp = 3
/
ATOMIC_SPECIES
Mg 24.30 Mg.upf
Te 127.60 Te.upf
Pt 195.08 Pt.upf
CELL_PARAMETERS angstrom
3.9097 -2.2540 0.0000
3.9097 2.2540 0.0000
-2.5995 0.0000 8.1157
ATOMIC_POSITIONS crystal
Mg 0.1307 0.1307 0.3932
Mg 0.8693 0.8693 0.6068
Te 0.3967 0.3967 0.1900
Te 0.6033 0.6033 0.8100
Pt 0.2411 0.2411 0.7222
Pt 0.7589 0.7589 0.2778
```

[6]
Entry from Alexandria: Mg2TePt after structural relaxation (PBE). Values from VASP.

## Properties
Density of states at the Fermi level ... 0.313 states/eV per atom
Uncorrected formation energy ... -13.07 kcal/mol of atoms

Cell and atoms, written as Quantum ESPRESSO input:
```
&SYSTEM
  ibrav = 0, nat = 4, ntyp = 3
/
ATOMIC_SPECIES
Mg 24.30 Mg.upf
Te 127.60 Te.upf
Pt 195.08 Pt.upf
CELL_PARAMETERS angstrom
2.1532 1.2432 5.6730
-2.1532 1.2432 5.6730
0.0000 -2.4863 5.6730
ATOMIC_POSITIONS crystal
Mg 0.0000 0.0000 0.0000
Mg 0.2054 0.2054 0.2054
Te 0.4358 0.4358 0.4358
Pt 0.5964 0.5964 0.5964
```

[7]
Entry from Alexandria: Mg2TePt after structural relaxation (PBE). Values from VASP.

## Properties
Density of states at the Fermi level ... 0.218 states/eV per atom
Uncorrected formation energy ... -11.20 kcal/mol of atoms

Cell and atoms, written as Quantum ESPRESSO input:
```
&SYSTEM
  ibrav = 0, nat = 4, ntyp = 3
/
ATOMIC_SPECIES
Mg 24.30 Mg.upf
Te 127.60 Te.upf
Pt 195.08 Pt.upf
CELL_PARAMETERS angstrom
3.4533 -1.9828 0.0000
3.4533 1.9828 0.0000
-2.2688 0.0000 6.6240
ATOMIC_POSITIONS crystal
Mg 0.2384 0.2384 0.2153
Mg 0.7616 0.7616 0.7847
Te 0.0000 0.0000 0.5000
Pt 0.5000 0.5000 0.0000
```

[8]
Entry from Alexandria: MgTePt after structural relaxation (PBE). Values from VASP.

## Properties
Density of states at the Fermi level ... 0.124 states/eV per atom
Uncorrected formation energy ... -11.99 kcal/mol of atoms

Cell and atoms, written as Quantum ESPRESSO input:
```
&SYSTEM
  ibrav = 0, nat = 6, ntyp = 3
/
ATOMIC_SPECIES
Mg 24.30 Mg.upf
Te 127.60 Te.upf
Pt 195.08 Pt.upf
CELL_PARAMETERS angstrom
2.4160 -3.6658 0.0000
2.4160 3.6658 0.0000
0.0000 0.0000 7.2736
ATOMIC_POSITIONS crystal
Mg 0.0837 0.9163 0.5000
Mg 0.9163 0.0837 0.0000
Te 0.3773 0.6227 0.7676
Te 0.6227 0.3773 0.2676
Pt 0.2512 0.7488 0.1345
Pt 0.7488 0.2512 0.6345
```

[9]
Entry from Alexandria: Mg2TePt after structural relaxation (PBE). Values from VASP.

## Properties
Density of states at the Fermi level ... 0.446 states/eV per atom
Uncorrected formation energy ... -4.79 kcal/mol of atoms

Cell and atoms, written as Quantum ESPRESSO input:
```
&SYSTEM
  ibrav = 0, nat = 4, ntyp = 3
/
ATOMIC_SPECIES
Mg 24.30 Mg.upf
Te 127.60 Te.upf
Pt 195.08 Pt.upf
CELL_PARAMETERS angstrom
0.0000 3.4494 3.4494
3.4494 0.0000 3.4494
3.4494 3.4494 0.0000
ATOMIC_POSITIONS crystal
Mg 0.0000 0.0000 0.0000
Mg 0.2500 0.2500 0.2500
Te 0.7500 0.7500 0.7500
Pt 0.5000 0.5000 0.5000
```

[10]
Entry from Alexandria: Mg2TePt after structural relaxation (PBE). Values from VASP.

## Properties
Density of states at the Fermi level ... 0.170 states/eV per atom
Uncorrected formation energy ... -12.51 kcal/mol of atoms

Cell and atoms, written as Quantum ESPRESSO input:
```
&SYSTEM
  ibrav = 0, nat = 4, ntyp = 3
/
ATOMIC_SPECIES
Mg 24.30 Mg.upf
Te 127.60 Te.upf
Pt 195.08 Pt.upf
CELL_PARAMETERS angstrom
4.2037 0.0000 0.0000
0.0000 4.3856 0.0000
-0.8956 0.0000 4.8620
ATOMIC_POSITIONS crystal
Mg 0.0000 0.0000 0.0000
Mg 0.1246 0.5000 0.5614
Te 0.5036 0.5000 0.1194
Pt 0.7577 0.0000 0.4668
```

[11]
Entry from Alexandria: MgTePt2 after structural relaxation (PBE). Values from VASP.

## Properties
Density of states at the Fermi level ... 0.537 states/eV per atom
Uncorrected formation energy ... -7.84 kcal/mol of atoms
Relative energy among the computed polymorphs ... 75.3 meV/atom

Cell and atoms, written as Quantum ESPRESSO input:
```
&SYSTEM
  ibrav = 0, nat = 4, ntyp = 3
/
ATOMIC_SPECIES
Mg 24.30 Mg.upf
Te 127.60 Te.upf
Pt 195.08 Pt.upf
CELL_PARAMETERS angstrom
-2.0138 2.0138 4.4625
2.0138 -2.0138 4.4625
2.0138 2.0138 -4.4625
ATOMIC_POSITIONS crystal
Mg 0.0000 0.0000 0.0000
Te 0.7500 0.2500 0.5000
Pt 0.2500 0.7500 0.5000
Pt 0.5000 0.5000 0.0000
```

[12]
Entry from Alexandria: MgTePt2 after structural relaxation (PBE). Values from VASP.

## Properties
Density of states at the Fermi level ... 0.460 states/eV per atom
Uncorrected formation energy ... -7.06 kcal/mol of atoms
Relative energy among the computed polymorphs ... 108.9 meV/atom

Cell and atoms, written as Quantum ESPRESSO input:
```
&SYSTEM
  ibrav = 0, nat = 4, ntyp = 3
/
ATOMIC_SPECIES
Mg 24.30 Mg.upf
Te 127.60 Te.upf
Pt 195.08 Pt.upf
CELL_PARAMETERS angstrom
0.0000 3.3114 3.3114
3.3114 0.0000 3.3114
3.3114 3.3114 0.0000
ATOMIC_POSITIONS crystal
Mg 0.0000 0.0000 0.0000
Te 0.5000 0.5000 0.5000
Pt 0.2500 0.2500 0.2500
Pt 0.7500 0.7500 0.7500
```

- Look up the density of states at the Fermi level of the third one.
  0.981 states/eV per atom

- What is the density of states at the Fermi level in the fifth record?
  0.306 states/eV per atom

- density of states at the Fermi level of number 3 (MgZrTcPt)?
  0.981 states/eV per atom

- Which of these has the lowest density of states at the Fermi level?
  number 8